First-principles (GGA+U) data for a relaxed AcCoNO crystal, as listed in the Open Quantum Materials Database.

- polymorph energy (0 for the lowest one) (eV per atom) = 0.0404
- space group = No. 26
- size of the total moment (μB per formula unit) = 3.0

Cell and atoms, written as POSCAR:
```
AcCoNO
1.0
3.136 0.556 1.846
-0.368 -5.447 2.266
3.024 -2.080 -4.511
Ac Co N O
2 2 2 2
Cartesian
2.397 -0.443 -0.268
3.560 -4.093 -1.144
0.641 -3.328 -0.087
2.195 -1.546 -3.262
1.096 -5.184 -0.300
1.541 -2.640 -1.822
1.808 -2.418 1.327
3.842 -6.667 -0.847
```